The following is a DFT calculation (PBE-GGA) of an optimized crystal structure of Mg4MoOs.

It has space group F-43m (No. 216), with a = 7.416 Å, b = 7.416 Å, c = 7.416 Å, α = 90.00°, β = 90.00° and γ = 90.00°. The inequivalent atoms are Mg at (0.125, 0.125, 0.125), Mo at (0.250, 0.250, 0.750) and Os at (0.000, 0.000, 0.500).

The value obtained for the calculated volume is 407.8 Å³ per cell. The energy of formation is 407.3 kJ/mol of formula units.

The following is a DFT calculation (PBE-GGA) of an optimized crystal structure of Li5AlCd.

It has space group P4/mmm (No. 123), with a = 4.173 Å, b = 4.173 Å, c = 7.819 Å, α = 90.00°, β = 90.00° and γ = 90.00°. The inequivalent atoms are Li at (0.000, 0.000, 0.000), Li at (0.000, 0.500, 0.252), Al at (0.500, 0.500, 0.000) and Cd at (0.000, 0.000, 0.500).

The value obtained for the calculated volume is 136.1 Å³ per cell. The calculation puts the distance to the lowest polymorph of the same formula at 0.049 eV/atom. The energy of formation is -23.1 kJ/mol of formula units.